# NdDy2Zn2, optimized geometry, DFT PBE-GGA
# DFT formation energy	-0.193	eV per atom
# total DFT energy (no corrections)	-69.9	eV/cell
data_NdDy2Zn2
_chemical_formula_sum 'Nd4 Dy8 Zn8'
_space_group_name_H-M_alt 'C m c 21'
_space_group_IT_number 36
_space_group_name_Hall 'C 2c -2'
_cell_length_a 5.265
_cell_length_b 15.408
_cell_length_c 6.261
_cell_angle_alpha 90.00
_cell_angle_beta 90.00
_cell_angle_gamma 90.00
loop_
_atom_site_label
_atom_site_fract_x
_atom_site_fract_y
_atom_site_fract_z
_atom_site_occupancy
Nd1 0.000 0.085 0.000 1
Dy1 0.000 0.298 0.761 1
Dy2 0.000 0.459 0.146 1
Zn1 0.000 0.127 0.494 1
Zn2 0.000 0.281 0.269 1